Hf2Ti2Nb GGA-PBE optimized geometry; mass density = 9.11 g/cm³; formation energy from the elements = 0.22 eV/atom
1.0
-5.6262 -2.0591 3.8483
4.3644 -2.6038 4.9876
-0.0193 3.4704 1.8287
Nb Hf Ti
2 4 4
Direct
0.0000 0.0000 0.0000
0.5000 0.5000 0.0000
0.6568 0.8432 0.5000
0.3432 0.1568 0.5000
0.1568 0.6568 0.5000
0.8432 0.3432 0.5000
0.3566 0.8566 0.0000
0.1434 0.3566 0.0000
0.6434 0.1434 0.0000
0.8566 0.6434 0.0000